# 1
A relaxed Tl4IO2 crystal, computed with PBE.

Summary:
E_tot   -3.455 eV/atom
Energy relative to the elements, uncorrected   -0.4648 eV/atom
Space group   Cmcm (63)

Unit cell a=6.7976 b=6.7976 c=15.4755 alpha=90.00 beta=90.00 gamma=146.72
Closest atoms and distances in Å follow each position.
Fractional coordinates of all 14 atoms:
1 Tl 0.0000 0.0000 0.0000  4 O 2.86
2 Tl 0.0000 0.0000 0.5000  4 O 2.86
3 Tl 0.2404 0.7596 0.5939  3 O 2.27-2.46
4 Tl 0.2404 0.7596 0.9061  3 O 2.27-2.46
5 Tl 0.3504 0.6496 0.2500  2 I 3.31, 4 Tl 3.32, 2 O 3.48
6 Tl 0.6496 0.3504 0.7500  2 I 3.31, 4 Tl 3.32, 2 O 3.48
7 Tl 0.7596 0.2404 0.0939  3 O 2.27-2.46
8 Tl 0.7596 0.2404 0.4061  3 O 2.27-2.46
9 I 0.0556 0.9444 0.2500  2 Tl 3.31
10 I 0.9444 0.0556 0.7500  2 Tl 3.31
11 O 0.3419 0.6581 0.0254  3 Tl 2.27-2.46
12 O 0.3419 0.6581 0.4746  3 Tl 2.27-2.46
13 O 0.6581 0.3419 0.5254  3 Tl 2.27-2.46
14 O 0.6581 0.3419 0.9746  3 Tl 2.27-2.46

***

# 2
A relaxed Tl4I2O crystal, computed with PBE.

Summary:
E_tot   -3.051 eV/atom
ΔE to the lowest computed polymorph   92 meV/atom
Energy relative to the elements, uncorrected   -0.5475 eV/atom
Space group   I4/mmm (139)

Unit cell a=9.8320 b=9.8320 c=9.8320 alpha=147.52 beta=147.52 gamma=46.60
Closest atoms and distances in Å follow each position.
Fractional coordinates of all 7 atoms:
1 Tl 0.0000 0.5000 0.5000  2 O 2.75
2 Tl 0.1354 0.1354 0.0000  1 O 2.44
3 Tl 0.5000 0.0000 0.5000  2 O 2.75
4 Tl 0.8646 0.8646 0.0000  1 O 2.44
5 I 0.3673 0.3673 0.0000  8 Tl 3.65-3.89
6 I 0.6327 0.6327 0.0000  8 Tl 3.65-3.89
7 O 0.0000 0.0000 0.0000  2 Tl 2.44

***

# 3
A relaxed TlIO2 crystal, computed with PBE.

Summary:
E_tot   -3.394 eV/atom
ΔE to the lowest computed polymorph   446 meV/atom
Energy relative to the elements, uncorrected   0.0645 eV/atom
Space group   I-42d (122)

Unit cell a=6.2512 b=6.2512 c=6.2512 alpha=122.14 beta=122.14 gamma=86.33
Closest atoms and distances in Å follow each position.
Fractional coordinates of all 8 atoms:
1 Tl 0.0000 0.0000 0.0000  4 O 2.22
2 Tl 0.7500 0.2500 0.5000  4 O 2.22
3 I 0.2500 0.7500 0.5000  4 O 2.65
4 I 0.5000 0.5000 0.0000  4 O 2.65
5 O 0.0673 0.6250 0.9423  2 Tl 2.22
6 O 0.3750 0.3173 0.4423  2 Tl 2.22
7 O 0.6827 0.1250 0.0577  2 Tl 2.22
8 O 0.8750 0.9327 0.5577  2 Tl 2.22

***

# 4
A relaxed Tl2I2O7 crystal, computed with PBE.

Summary:
E_tot   -4.225 eV/atom
Energy relative to the elements, uncorrected   -0.3581 eV/atom
Space group   C2/m (12)

Unit cell a=5.5028 b=5.5028 c=6.2135 alpha=99.45 beta=99.45 gamma=77.34
Closest atoms and distances in Å follow each position.
Fractional coordinates of all 11 atoms:
1 Tl 0.2198 0.7802 0.0000  6 O 2.39-2.64
2 Tl 0.7802 0.2198 0.0000  6 O 2.39-2.64
3 I 0.2463 0.2463 0.6019  4 O 1.87-2.08
4 I 0.7537 0.7537 0.3981  4 O 1.87-2.08
5 O 0.0000 0.0000 0.5000  2 I 2.08
6 O 0.0011 0.4441 0.7652  1 I 1.87
7 O 0.4441 0.0011 0.7652  1 I 1.87
8 O 0.4687 0.4687 0.7661  1 I 1.97
9 O 0.5313 0.5313 0.2339  1 I 1.97
10 O 0.5559 0.9989 0.2348  1 I 1.87
11 O 0.9989 0.5559 0.2348  1 I 1.87

***

# 5
A relaxed TlIO2 crystal, computed with PBE.

Summary:
E_tot   -3.840 eV/atom
ΔE to the lowest computed polymorph   0 meV/atom
Energy relative to the elements, uncorrected   -0.3817 eV/atom
Space group   R-3m (166)

Unit cell a=6.9266 b=6.9266 c=6.9266 alpha=30.37 beta=30.37 gamma=30.37
Closest atoms and distances in Å follow each position.
Fractional coordinates of all 4 atoms:
1 Tl 0.0000 0.0000 0.0000  6 O 2.37
2 I 0.5000 0.5000 0.5000  2 O 2.20
3 O 0.3891 0.3891 0.3891  1 I 2.20, 3 Tl 2.37
4 O 0.6109 0.6109 0.6109  1 I 2.20, 3 Tl 2.37

***

# 6
A relaxed TlI2O6 crystal, computed with PBE.

Summary:
E_tot   -4.266 eV/atom
ΔE to the lowest computed polymorph   0 meV/atom
Energy relative to the elements, uncorrected   -0.3536 eV/atom
Space group   C2/c (15)

Unit cell a=7.9468 b=7.9468 c=8.4708 alpha=117.11 beta=117.11 gamma=41.77
Closest atoms and distances in Å follow each position.
Fractional coordinates of all 18 atoms:
1 Tl 0.0389 0.9611 0.7500  6 O 2.49-2.72
2 Tl 0.9611 0.0389 0.2500  6 O 2.49-2.72
3 I 0.3547 0.3563 0.3836  3 O 1.82-1.91
4 I 0.3563 0.3547 0.8836  3 O 1.82-1.91
5 I 0.6437 0.6453 0.1164  3 O 1.82-1.91
6 I 0.6453 0.6437 0.6164  3 O 1.82-1.91
7 O 0.0900 0.3725 0.8081  1 I 1.82
8 O 0.1841 0.7084 0.9848  1 I 1.91
9 O 0.2354 0.5106 0.5954  1 I 1.85
10 O 0.2916 0.8159 0.5152  1 I 1.91
11 O 0.3725 0.0900 0.3081  1 I 1.82
12 O 0.4894 0.7646 0.9046  1 I 1.85
13 O 0.5106 0.2354 0.0954  1 I 1.85
14 O 0.6275 0.9100 0.6919  1 I 1.82
15 O 0.7084 0.1841 0.4848  1 I 1.91
16 O 0.7646 0.4894 0.4046  1 I 1.85
17 O 0.8159 0.2916 0.0152  1 I 1.91
18 O 0.9100 0.6275 0.1919  1 I 1.82

***

# 7
A relaxed TlIO2 crystal, computed with PBE.

Summary:
E_tot   -2.897 eV/atom
ΔE to the lowest computed polymorph   943 meV/atom
Energy relative to the elements, uncorrected   0.5612 eV/atom
Space group   Fm-3m (225)

Unit cell a=4.5603 b=4.5603 c=4.5603 alpha=60.00 beta=60.00 gamma=60.00
Closest atoms and distances in Å follow each position.
Fractional coordinates of all 4 atoms:
1 Tl 0.0000 0.0000 0.0000  8 O 2.79
2 I 0.5000 0.5000 0.5000  8 O 2.79
3 O 0.2500 0.2500 0.2500  4 Tl 2.79, 4 I 2.79
4 O 0.7500 0.7500 0.7500  4 Tl 2.79, 4 I 2.79

***

# 8
A relaxed TlI2O2 crystal, computed with PBE.

Summary:
E_tot   -2.336 eV/atom
ΔE to the lowest computed polymorph   743 meV/atom
Energy relative to the elements, uncorrected   0.7406 eV/atom
Space group   P4/mmm (123)

Unit cell a=6.2634 b=6.2634 c=4.0199 alpha=90.00 beta=90.00 gamma=90.00
Closest atoms and distances in Å follow each position.
Fractional coordinates of all 5 atoms:
1 Tl 0.0000 0.0000 0.0000  2 O 2.01
2 I 0.0000 0.5000 0.0000  2 Tl 3.13
3 I 0.5000 0.0000 0.0000  2 Tl 3.13
4 O 0.0000 0.0000 0.5000  2 Tl 2.01
5 O 0.5000 0.5000 0.5000  8 I 3.72, 2 O 4.02

***

# 9
A relaxed TlI2O4 crystal, computed with PBE.

Summary:
E_tot   -3.842 eV/atom
Energy relative to the elements, uncorrected   -0.2277 eV/atom
Space group   C2/m (12)

Unit cell a=4.4866 b=4.4866 c=8.0787 alpha=90.28 beta=90.28 gamma=90.25
Closest atoms and distances in Å follow each position.
Fractional coordinates of all 7 atoms:
1 Tl 0.0000 0.0000 0.0000  8 O 2.90-3.12
2 I 0.4913 0.4913 0.7243  2 O 1.87
3 I 0.5087 0.5087 0.2757  2 O 1.87
4 O 0.0798 0.5309 0.7555  1 I 1.87
5 O 0.4691 0.9202 0.2445  1 I 1.87
6 O 0.5309 0.0798 0.7555  1 I 1.87
7 O 0.9202 0.4691 0.2445  1 I 1.87

***

# 10
A relaxed TlIO2 crystal, computed with PBE.

Summary:
E_tot   -3.767 eV/atom
ΔE to the lowest computed polymorph   73 meV/atom
Energy relative to the elements, uncorrected   -0.3087 eV/atom
Space group   P3_121 (152)

Unit cell a=7.3250 b=7.3250 c=7.6738 alpha=90.00 beta=90.00 gamma=120.00
Closest atoms and distances in Å follow each position.
Fractional coordinates of all 12 atoms:
1 Tl 0.0000 0.7493 0.1667  4 O 2.52-2.79
2 Tl 0.2507 0.2507 0.5000  4 O 2.52-2.79
3 Tl 0.7493 0.0000 0.8333  4 O 2.52-2.79
4 I 0.0000 0.6382 0.6667  2 O 1.90
5 I 0.3618 0.3618 0.0000  2 O 1.90
6 I 0.6382 0.0000 0.3333  2 O 1.90
7 O 0.1342 0.2782 0.8414  1 I 1.90
8 O 0.1440 0.8658 0.5081  1 I 1.90
9 O 0.2782 0.1342 0.1586  1 I 1.90
10 O 0.7218 0.8560 0.1747  1 I 1.90
11 O 0.8560 0.7218 0.8253  1 I 1.90
12 O 0.8658 0.1440 0.4919  1 I 1.90

***

# 11
A relaxed Tl7I2O2 crystal, computed with PBE.

Summary:
E_tot   -3.146 eV/atom
Energy relative to the elements, uncorrected   -0.4565 eV/atom
Space group   C2/m (12)

Unit cell a=8.7456 b=8.7456 c=5.9036 alpha=107.31 beta=107.31 gamma=90.04
Closest atoms and distances in Å follow each position.
Fractional coordinates of all 11 atoms:
1 Tl 0.0000 0.0000 0.0000  2 O 2.80
2 Tl 0.1427 0.4287 0.8864  1 O 2.36
3 Tl 0.3742 0.3742 0.5091  1 O 2.28
4 Tl 0.4287 0.1427 0.8864  1 O 2.36
5 Tl 0.5713 0.8573 0.1136  1 O 2.36
6 Tl 0.6258 0.6258 0.4909  1 O 2.28
7 Tl 0.8573 0.5713 0.1136  1 O 2.36
8 I 0.2085 0.7915 0.5000  2 Tl 3.40
9 I 0.7915 0.2085 0.5000  2 Tl 3.40
10 O 0.2419 0.2419 0.0991  3 Tl 2.28-2.36
11 O 0.7581 0.7581 0.9009  3 Tl 2.28-2.36

***

no.,total moment (μB per formula unit)
1,0.00
2,0.00
3,0.00
4,0.00
5,0.00
6,0.00
7,1.53
8,1.16
9,0.00
10,0.00
11,0.00